(1)
Computed, not measured: crystalline LaDy2Fe at its relaxed geometry at the GGA-PBE level of DFT.

abc: 3.4994 3.4994 32.0316
angles: 90.00 90.00 120.00
Space group R-3m (No. 166, hexagonal axes)
Inequivalent atoms, fractional coordinates:
La (0.0000, 0.0000, 0.0000) x3
Dy (0.0000, 0.0000, 0.1095) x6
Fe (0.0000, 0.0000, 0.5000) x3

Summary:
Magnetization: 3.0 μB/cell

---

(2)
Computed, not measured: crystalline LaDy2Fe at its relaxed geometry at the GGA-PBE level of DFT.

abc: 3.375 3.375 9.311
angles: 90.00 90.00 90.00
Space group P4/mmm (No. 123)
Inequivalent atoms, fractional coordinates:
La (0.000, 0.000, 0.000) x1
Dy (0.500, 0.500, 0.328) x2
Fe (0.000, 0.000, 0.500) x1

Summary:
Magnetization: 0.0 μB/cell

---

Result of the stability comparison: (2) is the most stable of them.

---

(1)
Computed, not measured: crystalline LiDyFe at its relaxed geometry at the GGA-PBE level of DFT.

abc: 3.8961 3.8961 10.2964
angles: 90.00 90.00 120.00
Space group P-3m1 (No. 164)
Inequivalent atoms, fractional coordinates:
Li (0.3333, 0.6667, 0.4225) x2
Dy (0.0000, 0.0000, 0.1773) x2
Fe (0.3333, 0.6667, 0.0077) x2

Summary:
Magnetization: 2.2 μB/cell

---

(2)
Computed, not measured: crystalline LiDyFe at its relaxed geometry at the GGA-PBE level of DFT.

abc: 12.681 3.840 5.047
angles: 90.00 99.38 90.00
Space group C2/m (No. 12)
Inequivalent atoms, fractional coordinates:
Li (0.084, 0.000, 0.315) x4
Dy (0.136, 0.500, 0.852) x4
Fe (0.237, 0.500, 0.407) x4

Summary:
Magnetization: 0.0 μB/cell

---

Result of the stability comparison: (1) is the most stable of them.

---

(1)
Computed, not measured: crystalline Dy2MgFe at its relaxed geometry at the GGA-PBE level of DFT.

abc: 3.327 3.327 8.395
angles: 90.00 90.00 90.00
Space group P4/mmm (No. 123)
Inequivalent atoms, fractional coordinates:
Dy (0.000, 0.000, 0.193) x2
Mg (0.500, 0.500, 0.500) x1
Fe (0.500, 0.500, 0.000) x1

Summary:
Magnetization: 0.0 μB/cell

---

(2)
Computed, not measured: crystalline Dy2MgFe at its relaxed geometry at the GGA-PBE level of DFT.

abc: 7.142 7.142 7.142
angles: 90.00 90.00 90.00
Space group Fm-3m (No. 225)
Inequivalent atoms, fractional coordinates:
Dy (0.250, 0.250, 0.250) x8
Mg (0.000, 0.000, 0.000) x4
Fe (0.000, 0.000, 0.500) x4

Summary:
Magnetization: 5.3 μB/cell

---

Result of the stability comparison: (1) is the most stable of them.

---

(1)
Computed, not measured: crystalline Dy3MgFe at its relaxed geometry at the GGA-PBE level of DFT.

abc: 9.035 3.536 16.390
angles: 90.00 90.00 90.00
Space group Pnma (No. 62)
Inequivalent atoms, fractional coordinates:
Dy (0.080, 0.250, 0.147) x4
Dy (0.205, 0.250, 0.498) x4
Dy (0.240, 0.250, 0.812) x4
Mg (0.053, 0.750, 0.660) x4
Fe (0.051, 0.250, 0.966) x4

Summary:
Magnetization: 5.6 μB/cell

---

(2)
Computed, not measured: crystalline Dy3MgFe at its relaxed geometry at the GGA-PBE level of DFT.

abc: 5.189 5.189 5.189
angles: 90.00 90.00 90.00
Space group Pm-3m (No. 221)
Inequivalent atoms, fractional coordinates:
Dy (0.000, 0.000, 0.500) x3
Mg (0.500, 0.500, 0.500) x1
Fe (0.000, 0.000, 0.000) x1

Summary:
Magnetization: 0.0 μB/cell

---

Result of the stability comparison: (1) is the most stable of them.